[1]
The following is a PBE-GGA calculation of InOsSe2 after structural relaxation, from Alexandria via LeMat-Bulk.

Cell lengths 4.438, 4.130, 4.130 Å; angles 90.00, 90.00, 90.00 degrees
Sites, in units of the cell vectors:
In (0.500, 0.500, 0.000)
Se (0.000, 0.500, 0.500)
Se (0.000, 0.000, 0.000)
Os (0.500, 0.000, 0.500)

***

[2]
The following is a PBE-GGA calculation of InOsSe2 after structural relaxation, from Alexandria via LeMat-Bulk.

Cell lengths 3.737, 5.006, 5.456 Å; angles 62.21, 90.00, 90.00 degrees
Sites, in units of the cell vectors:
Se (0.000, 0.957, 0.907)
Se (0.000, 0.543, 0.593)
Os (0.500, 0.750, 0.750)
In (0.500, 0.250, 0.250)

***

[3]
The following is a PBE-GGA calculation of InOsSe2 after structural relaxation, from Alexandria via LeMat-Bulk.

Cell lengths 3.036, 3.038, 9.172 Å; angles 90.00, 90.00, 90.00 degrees
Sites, in units of the cell vectors:
In (0.000, 0.000, 0.534)
Se (0.500, 0.500, 0.275)
Se (0.000, 0.000, 0.918)
Os (0.500, 0.500, 0.773)

***

[4]
The following is a PBE-GGA calculation of InOsSe2 after structural relaxation, from Alexandria via LeMat-Bulk.

Cell lengths 4.798, 4.798, 3.190 Å; angles 90.00, 90.00, 89.83 degrees
Sites, in units of the cell vectors:
Se (0.000, 0.000, 0.000)
Se (0.500, 0.500, 0.000)
Os (0.000, 0.500, 0.500)
In (0.500, 0.000, 0.500)

***

[5]
The following is a PBE-GGA calculation of InOsSe2 after structural relaxation, from Alexandria via LeMat-Bulk.

Cell lengths 3.169, 3.169, 9.977 Å; angles 90.00, 90.00, 123.25 degrees
Sites, in units of the cell vectors:
In (0.500, 0.500, 0.250)
Se (0.000, 0.000, 0.548)
Se (0.000, 0.000, 0.952)
Os (0.500, 0.500, 0.750)

***

[6]
The following is a PBE-GGA calculation of InOsSe2 after structural relaxation, from Alexandria via LeMat-Bulk.

Cell lengths 8.422, 8.422, 8.422 Å; angles 25.09, 25.09, 25.09 degrees
Sites, in units of the cell vectors:
Se (0.096, 0.096, 0.096)
Se (0.904, 0.904, 0.904)
In (0.500, 0.500, 0.500)
Os (0.000, 0.000, 0.000)

***

Formation energy without anion corrections, record by record: 0.851; 0.044; 0.281; 0.650; 0.465; 0.716 eV per atom
V, record by record: 18.92; 22.58; 21.15; 18.36; 20.94; 23.62 Å³ per atom